[1]
A relaxed structure of AcPr3In3. Source: Alexandria, functional GGA-PBE.

The structure in POSCAR format:
```
AcPr3In3
1.0
9.988 0.000 0.000
-4.994 8.649 0.000
0.000 0.000 5.322
Ac Pr In
2 6 6
Direct
0.333 0.667 0.250
0.667 0.333 0.750
0.008 0.243 0.750
0.235 0.992 0.750
0.243 0.235 0.250
0.757 0.765 0.750
0.765 0.008 0.250
0.992 0.757 0.250
0.063 0.613 0.750
0.387 0.449 0.750
0.449 0.063 0.250
0.551 0.937 0.750
0.613 0.551 0.250
0.937 0.387 0.250
```

Results
volume	460	Å³ per cell
energy relative to the elements	-0.3467	eV per atom
total moment	0.000	μB per cell
theoretical density	7.18	g/cm3


[2]
A relaxed structure of PdPtF4. Source: Alexandria, functional GGA-PBE.

The structure in POSCAR format:
```
PdPtF4
1.0
5.565 0.000 0.000
0.000 4.936 0.000
0.000 0.000 6.489
Pd Pt F
2 2 8
Direct
0.000 0.000 0.000
0.000 0.500 0.500
0.500 0.000 0.286
0.500 0.500 0.786
0.189 0.222 0.275
0.189 0.278 0.775
0.355 0.739 0.527
0.355 0.761 0.027
0.645 0.239 0.027
0.645 0.261 0.527
0.811 0.722 0.775
0.811 0.778 0.275
```

Results
volume	178	Å³ per cell
uncorrected energy	-48.20	eV per cell
total moment	2.306	μB per cell
theoretical density	7.03	g/cm3


[3]
A relaxed structure of NaFe3. Source: Alexandria, functional GGA-PBE.

The structure in POSCAR format:
```
NaFe3
1.0
4.522 0.000 0.000
0.000 4.176 0.000
-0.469 0.000 6.811
Na Fe
2 6
Direct
0.219 0.250 0.484
0.781 0.750 0.516
0.157 0.250 0.987
0.341 0.750 0.178
0.349 0.750 0.841
0.651 0.250 0.159
0.659 0.250 0.822
0.843 0.750 0.013
```

Results
volume	129	Å³ per cell
energy relative to the elements	0.4629	eV per atom
total moment	15.421	μB per cell
theoretical density	4.92	g/cm3


[4]
A relaxed structure of BeAgOs2. Source: Alexandria, functional GGA-PBE.

The structure in POSCAR format:
```
BeAgOs2
1.0
2.766 0.000 0.000
0.000 3.713 0.000
0.000 0.000 5.591
Be Ag Os
1 1 2
Direct
0.000 0.000 0.000
0.500 0.500 0.758
0.000 0.000 0.436
0.500 0.500 0.241
```

Results
volume	57	Å³ per cell
energy relative to the elements	0.3324	eV per atom
total moment	0.000	μB per cell
theoretical density	14.38	g/cm3


[5]
A relaxed structure of Ti2FeS4. Source: Alexandria, functional GGA-PBE.

The structure in POSCAR format:
```
Ti2FeS4
1.0
6.421 -1.681 0.000
6.421 1.681 0.000
-2.664 0.000 5.264
Ti Fe S
2 1 4
Direct
0.245 0.245 0.255
0.755 0.755 0.745
0.500 0.500 0.500
0.124 0.124 0.791
0.382 0.382 0.707
0.618 0.618 0.293
0.876 0.876 0.209
```

Results
volume	114	Å³ per cell
uncorrected energy	-48.64	eV per cell
total moment	2.205	μB per cell
theoretical density	4.09	g/cm3


[6]
A relaxed structure of CaSi4Cl. Source: Alexandria, functional GGA-PBE.

The structure in POSCAR format:
```
CaSi4Cl
1.0
0.000 3.766 3.766
3.766 0.000 3.766
3.766 3.766 0.000
Ca Si Cl
1 4 1
Direct
0.000 0.000 0.000
0.376 0.376 0.376
0.376 0.376 0.871
0.376 0.871 0.376
0.871 0.376 0.376
0.750 0.750 0.750
```

Results
volume	107	Å³ per cell
uncorrected energy	-25.91	eV per cell
total moment	0.000	μB per cell
theoretical density	2.92	g/cm3


[7]
A relaxed structure of KPaTlO6. Source: Alexandria, functional GGA-PBE.

The structure in POSCAR format:
```
KPaTlO6
1.0
6.063 0.000 0.000
-3.032 5.251 0.000
0.000 0.000 4.881
K Pa Tl O
1 1 1 6
Direct
0.000 0.000 0.000
0.667 0.333 0.500
0.333 0.667 0.000
0.409 0.011 0.256
0.409 0.397 0.744
0.603 0.011 0.744
0.603 0.591 0.256
0.989 0.397 0.256
0.989 0.591 0.744
```

Results
volume	155	Å³ per cell
uncorrected energy	-55.88	eV per cell
total moment	3.025	μB per cell
theoretical density	6.10	g/cm3


[8]
A relaxed structure of LiSc2Ni9. Source: Alexandria, functional GGA-PBE.

The structure in POSCAR format:
```
LiSc2Ni9
1.0
2.406 1.389 7.857
-2.406 1.389 7.857
0.000 -2.779 7.857
Li Sc Ni
1 2 9
Direct
0.000 0.000 0.000
0.137 0.137 0.137
0.863 0.863 0.863
0.081 0.585 0.585
0.333 0.333 0.333
0.415 0.415 0.919
0.415 0.919 0.415
0.500 0.500 0.500
0.585 0.081 0.585
0.585 0.585 0.081
0.667 0.667 0.667
0.919 0.415 0.415
```

Results
volume	158	Å³ per cell
energy relative to the elements	-0.2624	eV per atom
total moment	1.996	μB per cell
theoretical density	6.59	g/cm3